A plane-wave DFT calculation with meta-GGA SCAN was carried out for a crystal of YAg relaxed with PBEsol.

As for the density: 7.12 Mg/m³. The total energy comes out at -30.03 eV/atom. The value obtained for the volume is 22.94 Å³/atom.

The structure belongs to space group Pm-3m (No. 221); the cell edges are 3.5799, 3.5799 and 3.5799 Å and the angles 90.00°, 90.00° and 90.00°. The inequivalent atoms are Y at (0.0000, 0.0000, 0.0000) and Ag at (0.5000, 0.5000, 0.5000).